# PBE LiMgBe, optimized geometry
# Offset from the most stable computed form ... 2.0 kJ per mole of atoms
# Size of the total moment ... 0.0 μB/f.u.
# Energy relative to the elements ... 14.7 kJ per mole of atoms
data_LiMgBe
_space_group_name_H-M_alt 'C 1 2/m 1'
_space_group_IT_number 12
_cell_length_a 9.421
_cell_length_b 2.881
_cell_length_c 7.298
_cell_angle_alpha 90.00
_cell_angle_beta 111.33
_cell_angle_gamma 90.00
loop_
_space_group_symop_operation_xyz
'x,y,z'
'-x,-y,-z'
'-x,y,-z'
'x,-y,z'
'x+1/2,y+1/2,z'
'-x+1/2,-y+1/2,-z'
'-x+1/2,y+1/2,-z'
'x+1/2,-y+1/2,z'
loop_
_atom_site_label
_atom_site_type_symbol
_atom_site_fract_x
_atom_site_fract_y
_atom_site_fract_z
_atom_site_occupancy
Li1 Li 0.168 0.000 0.107 1
Mg1 Mg 0.015 0.500 0.714 1
Be1 Be 0.199 0.000 0.573 1

# PBE Ge2SbW, optimized geometry
# Size of the total moment ... 1.0 μB/f.u.
# ΔE_f (raw) ... 0.84 eV per atom
data_Ge2SbW
_space_group_name_H-M_alt 'I -4 2 d'
_space_group_IT_number 122
_space_group_name_Hall 'I -4 2bw'
_cell_length_a 6.023
_cell_length_b 6.023
_cell_length_c 12.131
_cell_angle_alpha 90.00
_cell_angle_beta 90.00
_cell_angle_gamma 90.00
loop_
_atom_site_label
_atom_site_type_symbol
_atom_site_fract_x
_atom_site_fract_y
_atom_site_fract_z
_atom_site_occupancy
Ge1 Ge 0.210 0.250 0.125 1
Sb1 Sb 0.000 0.000 0.500 1
W1 W 0.000 0.000 0.000 1

| no. | volume (Å³/atom) |
| --- | --- |
| 1 | 15.38 |
| 2 | 27.51 |